a:
DFT (PBE) results for crystalline RbSiW at its relaxed geometry. Values from VASP.

```
&SYSTEM
  ibrav = 0, nat = 3, ntyp = 3
/
ATOMIC_SPECIES
Rb 85.47 Rb.upf
W 183.84 W.upf
Si 28.09 Si.upf
CELL_PARAMETERS angstrom
-1.980 -4.293 0.055
-3.929 -0.823 -2.498
0.178 -2.735 -3.852
ATOMIC_POSITIONS crystal
Rb 0.250 0.250 0.250
W 0.000 0.000 0.000
Si 0.750 0.750 0.750
```

Computed properties:
Symmetry: F-43m, No. 216
Size of the total moment: 2.46 Bohr magnetons per cell



b:
DFT (PBE) results for crystalline RbSiW at its relaxed geometry. Values from VASP.

```
&SYSTEM
  ibrav = 0, nat = 3, ntyp = 3
/
ATOMIC_SPECIES
Si 28.09 Si.upf
Rb 85.47 Rb.upf
W 183.84 W.upf
CELL_PARAMETERS angstrom
0.000 3.401 3.401
3.401 0.000 3.401
3.401 3.401 0.000
ATOMIC_POSITIONS crystal
Si 0.000 0.000 0.000
Rb 0.250 0.250 0.250
W 0.750 0.750 0.750
```

Computed properties:
Symmetry: F-43m, No. 216
Size of the total moment: 2.69 Bohr magnetons per cell



Most stable of them? b.



a:
DFT (PBE) results for crystalline Rb2Sm at its relaxed geometry. Values from VASP.

```
&SYSTEM
  ibrav = 0, nat = 3, ntyp = 2
/
ATOMIC_SPECIES
Rb 85.47 Rb.upf
Sm 150.36 Sm.upf
CELL_PARAMETERS angstrom
0.000 4.909 4.909
4.909 0.000 4.909
4.909 4.909 0.000
ATOMIC_POSITIONS crystal
Rb 0.250 0.250 0.250
Rb 0.750 0.750 0.750
Sm 0.000 0.000 0.000
```

Computed properties:
Symmetry: Fm-3m, No. 225
Size of the total moment: 2.96 Bohr magnetons per cell



b:
DFT (PBE) results for crystalline Rb2Sm at its relaxed geometry. Values from VASP.

```
&SYSTEM
  ibrav = 0, nat = 6, ntyp = 2
/
ATOMIC_SPECIES
Rb 85.47 Rb.upf
Sm 150.36 Sm.upf
CELL_PARAMETERS angstrom
5.904 7.257 9.041
10.615 6.864 -3.080
-0.610 12.979 -0.659
ATOMIC_POSITIONS crystal
Rb 0.875 0.375 0.375
Rb 0.375 0.375 0.875
Rb 0.375 0.875 0.375
Rb 0.375 0.375 0.375
Sm 0.500 0.500 0.500
Sm 0.250 0.250 0.250
```

Computed properties:
Symmetry: Fd-3m, No. 227
Size of the total moment: 5.99 Bohr magnetons per cell



c:
DFT (PBE) results for crystalline Rb2Sm at its relaxed geometry. Values from VASP.

```
&SYSTEM
  ibrav = 0, nat = 6, ntyp = 2
/
ATOMIC_SPECIES
Sm 150.36 Sm.upf
Rb 85.47 Rb.upf
CELL_PARAMETERS angstrom
0.000 5.515 5.515
5.515 0.000 5.515
5.515 5.515 0.000
ATOMIC_POSITIONS crystal
Sm 0.000 0.000 0.000
Sm 0.250 0.250 0.250
Rb 0.625 0.125 0.625
Rb 0.625 0.625 0.125
Rb 0.625 0.625 0.625
Rb 0.125 0.625 0.625
```

Computed properties:
Symmetry: Fd-3m, No. 227
Size of the total moment: 2.61 Bohr magnetons per cell



Most stable of them? c.



a:
DFT (PBE) results for crystalline RbSmTmTe3 at its relaxed geometry. Values from VASP.

```
&SYSTEM
  ibrav = 0, nat = 12, ntyp = 4
/
ATOMIC_SPECIES
Te 127.60 Te.upf
Rb 85.47 Rb.upf
Sm 150.36 Sm.upf
Tm 168.93 Tm.upf
CELL_PARAMETERS angstrom
2.360 -8.413 0.000
2.360 8.413 0.000
0.000 0.000 12.010
ATOMIC_POSITIONS crystal
Te 0.128 0.872 0.951
Te 0.872 0.128 0.049
Te 0.872 0.128 0.451
Te 0.128 0.872 0.549
Te 0.568 0.432 0.250
Te 0.432 0.568 0.750
Rb 0.756 0.244 0.750
Rb 0.244 0.756 0.250
Sm 0.500 0.500 0.500
Sm 0.500 0.500 0.000
Tm 0.965 0.035 0.250
Tm 0.035 0.965 0.750
```

Computed properties:
Symmetry: Cmcm, No. 63
Size of the total moment: 0.04 Bohr magnetons per cell



b:
DFT (PBE) results for crystalline RbSmTmTe3 at its relaxed geometry. Values from VASP.

```
&SYSTEM
  ibrav = 0, nat = 12, ntyp = 4
/
ATOMIC_SPECIES
Rb 85.47 Rb.upf
Te 127.60 Te.upf
Sm 150.36 Sm.upf
Tm 168.93 Tm.upf
CELL_PARAMETERS angstrom
6.129 2.126 6.027
-7.701 -4.074 -1.584
5.261 -9.115 -2.135
ATOMIC_POSITIONS crystal
Rb 0.728 0.272 0.250
Rb 0.272 0.728 0.750
Te 0.600 0.400 0.750
Te 0.112 0.888 0.461
Te 0.888 0.112 0.961
Te 0.400 0.600 0.250
Te 0.112 0.888 0.039
Te 0.888 0.112 0.539
Sm 0.011 0.989 0.750
Sm 0.989 0.011 0.250
Tm 0.500 0.500 0.000
Tm 0.500 0.500 0.500
```

Computed properties:
Symmetry: Cmcm, No. 63
Size of the total moment: 1.00 Bohr magnetons per cell



Most stable of them? a.



a:
DFT (PBE) results for crystalline RbTaSn at its relaxed geometry. Values from VASP.

```
&SYSTEM
  ibrav = 0, nat = 3, ntyp = 3
/
ATOMIC_SPECIES
Ta 180.95 Ta.upf
Sn 118.71 Sn.upf
Rb 85.47 Rb.upf
CELL_PARAMETERS angstrom
0.000 3.582 3.582
3.582 0.000 3.582
3.582 3.582 0.000
ATOMIC_POSITIONS crystal
Ta 0.000 0.000 0.000
Sn 0.750 0.750 0.750
Rb 0.250 0.250 0.250
```

Computed properties:
Symmetry: F-43m, No. 216
Size of the total moment: 1.99 Bohr magnetons per cell



b:
DFT (PBE) results for crystalline RbTaSn at its relaxed geometry. Values from VASP.

```
&SYSTEM
  ibrav = 0, nat = 3, ntyp = 3
/
ATOMIC_SPECIES
Ta 180.95 Ta.upf
Sn 118.71 Sn.upf
Rb 85.47 Rb.upf
CELL_PARAMETERS angstrom
0.000 3.736 3.736
3.736 0.000 3.736
3.736 3.736 0.000
ATOMIC_POSITIONS crystal
Ta 0.750 0.750 0.750
Sn 0.250 0.250 0.250
Rb 0.000 0.000 0.000
```

Computed properties:
Symmetry: F-43m, No. 216
Size of the total moment: 2.13 Bohr magnetons per cell



Most stable of them? a.



a:
DFT (PBE) results for crystalline RbTmSnTe3 at its relaxed geometry. Values from VASP.

```
&SYSTEM
  ibrav = 0, nat = 12, ntyp = 4
/
ATOMIC_SPECIES
Te 127.60 Te.upf
Tm 168.93 Tm.upf
Sn 118.71 Sn.upf
Rb 85.47 Rb.upf
CELL_PARAMETERS angstrom
2.417 4.407 -7.460
-3.413 -7.155 4.251
-11.617 5.094 -0.755
ATOMIC_POSITIONS crystal
Te 0.879 0.121 0.995
Te 0.508 0.492 0.750
Te 0.121 0.879 0.005
Te 0.121 0.879 0.495
Te 0.879 0.121 0.505
Te 0.492 0.508 0.250
Tm 0.500 0.500 0.000
Tm 0.500 0.500 0.500
Sn 0.106 0.894 0.250
Sn 0.894 0.106 0.750
Rb 0.793 0.207 0.250
Rb 0.207 0.793 0.750
```

Computed properties:
Symmetry: Cmcm, No. 63
Size of the total moment: 0.01 Bohr magnetons per cell



b:
DFT (PBE) results for crystalline RbTmSnTe3 at its relaxed geometry. Values from VASP.

```
&SYSTEM
  ibrav = 0, nat = 12, ntyp = 4
/
ATOMIC_SPECIES
Te 127.60 Te.upf
Rb 85.47 Rb.upf
Sn 118.71 Sn.upf
Tm 168.93 Tm.upf
CELL_PARAMETERS angstrom
2.410 -8.355 0.000
2.410 8.355 0.000
0.000 0.000 12.274
ATOMIC_POSITIONS crystal
Te 0.871 0.129 0.441
Te 0.570 0.430 0.250
Te 0.129 0.871 0.941
Te 0.871 0.129 0.059
Te 0.430 0.570 0.750
Te 0.129 0.871 0.559
Rb 0.752 0.248 0.750
Rb 0.248 0.752 0.250
Sn 0.500 0.500 0.500
Sn 0.500 0.500 0.000
Tm 0.968 0.032 0.250
Tm 0.032 0.968 0.750
```

Computed properties:
Symmetry: Cmcm, No. 63
Size of the total moment: 0.00 Bohr magnetons per cell



Most stable of them? a.



a:
DFT (PBE) results for crystalline RbSrTbTe3 at its relaxed geometry. Values from VASP.

```
&SYSTEM
  ibrav = 0, nat = 12, ntyp = 4
/
ATOMIC_SPECIES
Te 127.60 Te.upf
Tb 158.93 Tb.upf
Sr 87.62 Sr.upf
Rb 85.47 Rb.upf
CELL_PARAMETERS angstrom
-3.832 7.870 -3.020
0.915 -9.201 -0.490
-9.481 -1.390 8.409
ATOMIC_POSITIONS crystal
Te 0.618 0.382 0.017
Te 0.618 0.382 0.483
Te 0.382 0.618 0.517
Te 0.382 0.618 0.983
Te 0.046 0.954 0.750
Te 0.954 0.046 0.250
Tb 0.000 0.000 0.500
Tb 0.000 0.000 0.000
Sr 0.567 0.433 0.250
Sr 0.433 0.567 0.750
Rb 0.300 0.700 0.250
Rb 0.700 0.300 0.750
```

Computed properties:
Symmetry: Cmcm, No. 63
Size of the total moment: 0.02 Bohr magnetons per cell



b:
DFT (PBE) results for crystalline RbSrTbTe3 at its relaxed geometry. Values from VASP.

```
&SYSTEM
  ibrav = 0, nat = 12, ntyp = 4
/
ATOMIC_SPECIES
Rb 85.47 Rb.upf
Tb 158.93 Tb.upf
Te 127.60 Te.upf
Sr 87.62 Sr.upf
CELL_PARAMETERS angstrom
-1.286 -9.574 -4.082
0.591 -10.470 -0.046
-10.037 5.543 5.899
ATOMIC_POSITIONS crystal
Rb 0.457 0.457 0.255
Rb 0.543 0.543 0.745
Tb 0.168 0.168 0.571
Tb 0.832 0.832 0.429
Te 0.287 0.287 0.247
Te 0.341 0.341 0.611
Te 0.000 0.000 0.500
Te 0.713 0.713 0.753
Te 0.500 0.500 0.000
Te 0.659 0.659 0.389
Sr 0.117 0.117 0.178
Sr 0.883 0.883 0.822
```

Computed properties:
Symmetry: C2/m, No. 12
Size of the total moment: 0.00 Bohr magnetons per cell



Most stable of them? b.



a:
DFT (PBE) results for crystalline RbSrTc at its relaxed geometry. Values from VASP.

```
&SYSTEM
  ibrav = 0, nat = 3, ntyp = 3
/
ATOMIC_SPECIES
Tc 98.00 Tc.upf
Rb 85.47 Rb.upf
Sr 87.62 Sr.upf
CELL_PARAMETERS angstrom
0.000 3.850 3.850
3.850 0.000 3.850
3.850 3.850 0.000
ATOMIC_POSITIONS crystal
Tc 0.750 0.750 0.750
Rb 0.000 0.000 0.000
Sr 0.250 0.250 0.250
```

Computed properties:
Symmetry: F-43m, No. 216
Size of the total moment: 2.38 Bohr magnetons per cell



b:
DFT (PBE) results for crystalline RbSrTc at its relaxed geometry. Values from VASP.

```
&SYSTEM
  ibrav = 0, nat = 3, ntyp = 3
/
ATOMIC_SPECIES
Sr 87.62 Sr.upf
Rb 85.47 Rb.upf
Tc 98.00 Tc.upf
CELL_PARAMETERS angstrom
-4.994 -2.142 -1.396
-4.617 3.165 0.385
-2.600 1.747 -4.655
ATOMIC_POSITIONS crystal
Sr 0.750 0.750 0.750
Rb 0.250 0.250 0.250
Tc 0.000 0.000 0.000
```

Computed properties:
Symmetry: F-43m, No. 216
Size of the total moment: 2.38 Bohr magnetons per cell



Most stable of them? b.



a:
DFT (PBE) results for crystalline RbTaTe at its relaxed geometry. Values from VASP.

```
&SYSTEM
  ibrav = 0, nat = 3, ntyp = 3
/
ATOMIC_SPECIES
Rb 85.47 Rb.upf
Ta 180.95 Ta.upf
Te 127.60 Te.upf
CELL_PARAMETERS angstrom
4.498 -0.675 -2.767
2.735 -4.547 0.434
0.131 -3.427 -4.073
ATOMIC_POSITIONS crystal
Rb 0.250 0.250 0.250
Ta 0.750 0.750 0.750
Te 0.000 0.000 0.000
```

Computed properties:
Symmetry: F-43m, No. 216
Size of the total moment: 3.96 Bohr magnetons per cell



b:
DFT (PBE) results for crystalline RbTaTe at its relaxed geometry. Values from VASP.

```
&SYSTEM
  ibrav = 0, nat = 3, ntyp = 3
/
ATOMIC_SPECIES
Rb 85.47 Rb.upf
Ta 180.95 Ta.upf
Te 127.60 Te.upf
CELL_PARAMETERS angstrom
0.000 3.851 3.851
3.851 0.000 3.851
3.851 3.851 0.000
ATOMIC_POSITIONS crystal
Rb 0.000 0.000 0.000
Ta 0.250 0.250 0.250
Te 0.750 0.750 0.750
```

Computed properties:
Symmetry: F-43m, No. 216
Size of the total moment: 3.96 Bohr magnetons per cell



Most stable of them? a.